A.
Here is crystalline RbFeCuF6 at its relaxed geometry from Alexandria. Energies are from GGA+U.

The structure in extended XYZ format:
```
9
Lattice="-2.150 2.588 4.022 -0.278 -2.252 5.008 5.432 2.450 1.201" Properties=species:S:1:pos:R:3 pbc="T T T"
Rb -0.338 -2.141 5.060
Fe 1.892 1.354 3.621
Cu 1.095 1.452 6.637
F 1.635 -0.061 2.307
F 2.765 2.538 2.340
F 2.362 2.523 4.991
F 3.515 0.313 3.909
F 0.915 0.389 4.997
F 0.329 2.190 3.038
```

space group	P1, No. 1
M_tot	2.00	Bohr magnetons per cell

---

B.
Here is crystalline RbFeCuF6 at its relaxed geometry from Alexandria. Energies are from GGA+U.

The structure in extended XYZ format:
```
18
Lattice="-5.124 -4.383 -3.099 -2.388 -2.201 6.673 0.291 7.151 -1.960" Properties=species:S:1:pos:R:3 pbc="T T T"
Rb -3.073 2.452 1.480
Rb -4.148 -1.884 0.134
Fe 0.000 0.000 0.000
Fe -2.417 1.384 -2.529
Cu 0.146 3.576 -0.980
Cu -1.194 -1.100 3.336
F -1.666 0.291 -1.047
F -6.322 -3.789 1.168
F -3.256 -1.121 3.012
F -4.848 -2.479 -2.835
F -1.695 3.033 -1.801
F -6.117 0.518 0.017
F -5.555 0.277 2.661
F -0.899 4.357 0.446
F -3.965 1.689 -1.398
F -2.373 3.047 4.450
F -5.525 -2.466 3.415
F -1.104 0.050 1.597
```

space group	Imma, No. 74
M_tot	12.00	Bohr magnetons per cell

---

Which of them is the most stable, and which is the least stable? B and A, in that order.